1.
## K2WAu (PBE)

Data for an optimized crystal structure of K2WAu.

Cell and atoms, written as POSCAR:
```
K2WAu
1.0
7.709 0.000 0.000
0.000 7.709 0.000
0.000 0.000 7.709
K W Au
8 4 4
Cartesian
0.000 0.000 0.000
0.000 3.854 3.854
1.927 1.927 1.927
1.927 5.782 5.782
3.854 0.000 3.854
3.854 3.854 0.000
5.782 1.927 5.782
5.782 5.782 1.927
0.000 0.000 3.854
0.000 3.854 0.000
3.854 0.000 0.000
3.854 3.854 3.854
1.927 1.927 5.782
1.927 5.782 1.927
5.782 1.927 1.927
5.782 5.782 5.782
```

Output
For the total DFT energy (no corrections), the calculation gives -53.199 eV/cell. The energy of formation comes out at 1.2814 eV per atom. The density of states at the Fermi level comes out at 0.25 states/eV/atom. Its space group is F-43m (216). The offset from the most stable computed form comes out at 516 meV per atom.

2.
## KWAu (PBE)

Data for an optimized crystal structure of KWAu.

Cell and atoms, written as POSCAR:
```
KWAu
1.0
2.844 0.000 0.000
0.000 2.844 0.000
0.000 0.000 15.809
K W Au
2 2 2
Cartesian
0.000 0.000 0.000
1.422 1.422 7.904
0.000 0.000 4.861
1.422 1.422 12.765
0.000 0.000 10.715
1.422 1.422 2.810
```

Output
For the total DFT energy (no corrections), the calculation gives -29.175 eV/cell. The energy of formation comes out at 0.9136 eV per atom. The density of states at the Fermi level comes out at 1.03 states/eV/atom. Its space group is I4mm (107). The offset from the most stable computed form comes out at 316 meV per atom.

3.
## K2WAu (PBE)

Data for an optimized crystal structure of K2WAu.

Cell and atoms, written as POSCAR:
```
K2WAu
1.0
2.779 0.000 0.000
0.000 5.696 0.000
0.000 0.000 6.095
K W Au
2 1 1
Cartesian
0.000 0.000 1.500
0.000 0.000 4.595
1.389 2.848 3.048
1.389 2.848 0.000
```

Output
For the total DFT energy (no corrections), the calculation gives -13.794 eV/cell. The energy of formation comes out at 1.1578 eV per atom. The density of states at the Fermi level comes out at 0.95 states/eV/atom. Its space group is Pmmm (47). The offset from the most stable computed form comes out at 392 meV per atom.

4.
## KW2Au (PBE)

Data for an optimized crystal structure of KW2Au.

Cell and atoms, written as POSCAR:
```
KW2Au
1.0
3.904 0.000 0.000
0.000 3.904 0.000
0.000 0.000 10.356
K W Au
2 4 2
Cartesian
0.000 0.000 0.000
1.952 1.952 5.178
0.000 1.952 2.589
0.000 1.952 7.767
1.952 0.000 2.589
1.952 0.000 7.767
0.000 0.000 5.178
1.952 1.952 0.000
```

Output
For the total DFT energy (no corrections), the calculation gives -48.620 eV/cell. The energy of formation comes out at 1.4928 eV per atom. The density of states at the Fermi level comes out at 0.90 states/eV/atom. Its space group is I4/mmm (139). The offset from the most stable computed form comes out at 873 meV per atom.

5.
## K2WAu (PBE)

Data for an optimized crystal structure of K2WAu.

Cell and atoms, written as POSCAR:
```
K2WAu
1.0
4.752 0.000 0.000
0.000 6.005 0.000
0.000 0.000 9.673
K W Au
4 2 2
Cartesian
0.000 0.000 0.000
0.000 3.003 1.859
2.376 0.000 6.695
2.376 3.003 4.837
0.000 0.000 3.794
2.376 3.003 8.630
0.000 3.003 7.693
2.376 0.000 2.856
```

Output
For the total DFT energy (no corrections), the calculation gives -27.817 eV/cell. The energy of formation comes out at 1.1292 eV per atom. The density of states at the Fermi level comes out at 0.66 states/eV/atom. Its space group is Imm2 (44). The offset from the most stable computed form comes out at 364 meV per atom.

6.
## KW2Au (PBE)

Data for an optimized crystal structure of KW2Au.

Cell and atoms, written as POSCAR:
```
KW2Au
1.0
2.655 0.000 0.000
0.000 5.110 0.000
0.000 0.000 11.908
K W Au
2 4 2
Cartesian
0.000 0.000 0.000
1.328 2.555 5.954
0.000 2.555 2.563
0.000 2.555 9.344
1.328 0.000 3.391
1.328 0.000 8.517
0.000 0.000 5.954
1.328 2.555 0.000
```

Output
For the total DFT energy (no corrections), the calculation gives -53.792 eV/cell. The energy of formation comes out at 0.8463 eV per atom. The density of states at the Fermi level comes out at 0.57 states/eV/atom. Its space group is Immm (71). The offset from the most stable computed form comes out at 226 meV per atom.

7.
## KWAu (PBE)

Data for an optimized crystal structure of KWAu.

Cell and atoms, written as POSCAR:
```
KWAu
1.0
7.002 0.000 0.000
0.000 7.002 0.000
0.000 0.000 7.002
K W Au
4 4 4
Cartesian
0.000 0.000 0.000
0.000 3.501 3.501
3.501 0.000 3.501
3.501 3.501 0.000
0.000 0.000 3.501
0.000 3.501 0.000
3.501 0.000 0.000
3.501 3.501 3.501
1.750 1.750 5.251
1.750 5.251 1.750
5.251 1.750 1.750
5.251 5.251 5.251
```

Output
For the total DFT energy (no corrections), the calculation gives -48.567 eV/cell. The energy of formation comes out at 1.7288 eV per atom. The density of states at the Fermi level comes out at 0.78 states/eV/atom. Its space group is F-43m (216). The offset from the most stable computed form comes out at 1131 meV per atom.

8.
## KW2Au (PBE)

Data for an optimized crystal structure of KW2Au.

Cell and atoms, written as POSCAR:
```
KW2Au
1.0
5.495 0.000 0.000
0.000 10.702 0.000
0.000 0.000 2.665
K W Au
2 4 2
Cartesian
0.000 0.000 0.000
2.747 5.351 0.000
1.374 2.675 1.332
1.374 8.026 1.332
4.121 2.675 1.332
4.121 8.026 1.332
0.000 5.351 0.000
2.747 0.000 0.000
```

Output
For the total DFT energy (no corrections), the calculation gives -49.859 eV/cell. The energy of formation comes out at 1.3379 eV per atom. The density of states at the Fermi level comes out at 0.95 states/eV/atom. Its space group is Cmmm (65). The offset from the most stable computed form comes out at 718 meV per atom.

9.
## K2WAu (PBE)

Data for an optimized crystal structure of K2WAu.

Cell and atoms, written as POSCAR:
```
K2WAu
1.0
8.115 0.000 0.000
0.000 8.115 0.000
0.000 0.000 8.115
K W Au
8 4 4
Cartesian
2.029 2.029 2.029
2.029 2.029 6.086
2.029 6.086 2.029
2.029 6.086 6.086
6.086 2.029 2.029
6.086 2.029 6.086
6.086 6.086 2.029
6.086 6.086 6.086
0.000 0.000 0.000
0.000 4.057 4.057
4.057 0.000 4.057
4.057 4.057 0.000
0.000 0.000 4.057
0.000 4.057 0.000
4.057 0.000 0.000
4.057 4.057 4.057
```

Output
For the total DFT energy (no corrections), the calculation gives -51.349 eV/cell. The energy of formation comes out at 1.3971 eV per atom. The density of states at the Fermi level comes out at 0.12 states/eV/atom. Its space group is Fm-3m (225). The offset from the most stable computed form comes out at 632 meV per atom.

10.
## KW2Au (PBE)

Data for an optimized crystal structure of KW2Au.

Cell and atoms, written as POSCAR:
```
KW2Au
1.0
2.843 0.000 0.000
-1.421 2.462 0.000
0.000 0.000 33.381
K W Au
3 6 3
Cartesian
0.000 0.000 0.000
0.000 1.641 22.254
1.421 0.821 11.127
0.000 0.000 7.958
0.000 0.000 25.423
0.000 1.641 14.296
0.000 1.641 30.212
1.421 0.821 3.169
1.421 0.821 19.085
0.000 0.000 16.690
0.000 1.641 5.563
1.421 0.821 27.817
```

Output
For the total DFT energy (no corrections), the calculation gives -78.425 eV/cell. The energy of formation comes out at 1.0349 eV per atom. The density of states at the Fermi level comes out at 0.76 states/eV/atom. Its space group is R-3m (166). The offset from the most stable computed form comes out at 415 meV per atom.

11.
## KW2Au (PBE)

Data for an optimized crystal structure of KW2Au.

Cell and atoms, written as POSCAR:
```
KW2Au
1.0
6.704 0.000 0.000
0.000 6.704 0.000
0.000 0.000 6.704
K W Au
4 8 4
Cartesian
0.000 0.000 0.000
0.000 3.352 3.352
3.352 0.000 3.352
3.352 3.352 0.000
0.000 0.000 3.352
0.000 3.352 0.000
1.676 1.676 5.028
1.676 5.028 1.676
3.352 0.000 0.000
3.352 3.352 3.352
5.028 1.676 1.676
5.028 5.028 5.028
1.676 1.676 1.676
1.676 5.028 5.028
5.028 1.676 5.028
5.028 5.028 1.676
```

Output
For the total DFT energy (no corrections), the calculation gives -98.840 eV/cell. The energy of formation comes out at 1.3928 eV per atom. The density of states at the Fermi level comes out at 0.33 states/eV/atom. Its space group is F-43m (216). The offset from the most stable computed form comes out at 773 meV per atom.

12.
## KWAu (PBE)

Data for an optimized crystal structure of KWAu.

Cell and atoms, written as POSCAR:
```
KWAu
1.0
5.181 0.000 0.000
-2.590 4.486 0.000
0.000 0.000 2.730
K W Au
1 1 1
Cartesian
0.000 0.000 0.000
2.590 1.495 1.365
0.000 2.991 1.365
```

Output
For the total DFT energy (no corrections), the calculation gives -13.290 eV/cell. The energy of formation comes out at 1.3460 eV per atom. The density of states at the Fermi level comes out at 0.77 states/eV/atom. Its space group is P-6m2 (187). The offset from the most stable computed form comes out at 748 meV per atom.